Below is a relaxed structure of SbPPt, with properties calculated at the PBE-GGA level.

Summary:
For the volume, the calculation gives 250.12 Å³ per cell. The calculated density is 9237 kg/m³. For the formation energy from raw total energies, the calculation gives -0.2174 eV/atom.

```
data_SbPPt
_chemical_formula_sum 'Sb4 P4 Pt4'
_cell_length_a 6.7633
_cell_length_b 4.3635
_cell_length_c 8.4753
_cell_angle_alpha 90.00
_cell_angle_beta 90.00
_cell_angle_gamma 90.00
_symmetry_space_group_name_H-M 'P n m a'
_symmetry_Int_Tables_number 62
_symmetry_space_group_name_Hall '-P 2ac 2n'
loop_
_atom_site_label
_atom_site_fract_x
_atom_site_fract_y
_atom_site_fract_z
_atom_site_occupancy
Sb1 0.1178 0.2500 0.1311 1
P1 0.0727 0.7500 0.3939 1
Pt1 0.2242 0.2500 0.4552 1
```